No. 1
Entry from Alexandria via LeMat-Bulk: an optimized crystal structure of YTmZnAg (PBE-GGA).

POSCAR file:
```
YTmZnAg
1.0
3.5821 0.0000 0.0000
0.0000 3.5821 0.0000
0.0000 0.0000 7.1602
Y Tm Zn Ag
1 1 1 1
direct
0.0000 0.0000 0.0000 Y
0.0000 0.0000 0.4869 Tm
0.5000 0.5000 0.2501 Zn
0.5000 0.5000 0.7324 Ag
```

Theoretical density ... 7.8 g/cm3
Excess energy over the best structure of this formula in the dataset ... 0.0000 eV per atom

No. 2
Entry from Alexandria via LeMat-Bulk: an optimized crystal structure of CaPtAu2 (PBE-GGA).

POSCAR file:
```
CaPtAu2
1.0
0.0000 3.3941 3.3941
3.3941 0.0000 3.3941
3.3941 3.3941 0.0000
Ca Pt Au
1 1 2
direct
0.0000 0.0000 0.0000 Ca
0.2500 0.2500 0.2500 Pt
0.5000 0.5000 0.5000 Au
0.7500 0.7500 0.7500 Au
```

Theoretical density ... 13.4 g/cm3
Excess energy over the best structure of this formula in the dataset ... 0.1387 eV per atom

No. 3
Entry from Alexandria via LeMat-Bulk: an optimized crystal structure of NaPrAg (PBE-GGA).

POSCAR file:
```
NaPrAg
1.0
-1.8155 1.8155 6.6435
1.8155 -1.8155 6.6435
1.8155 1.8155 -6.6435
Na Pr Ag
1 1 1
direct
0.0000 0.0000 0.0000 Na
0.2805 0.2805 0.0000 Pr
0.6393 0.6393 0.0000 Ag
```

Theoretical density ... 5.2 g/cm3
Excess energy over the best structure of this formula in the dataset ... 0.0986 eV per atom

No. 4
Entry from Alexandria via LeMat-Bulk: an optimized crystal structure of KMgAlSn2 (PBE-GGA).

POSCAR file:
```
KMgAlSn2
1.0
-2.4239 2.4239 6.0537
2.4239 -2.4239 6.0537
2.4239 2.4239 -6.0537
K Mg Al Sn
1 1 1 2
direct
0.0000 0.0000 0.0000 K
0.2500 0.7500 0.5000 Mg
0.7500 0.2500 0.5000 Al
0.3796 0.3796 0.0000 Sn
0.6204 0.6204 0.0000 Sn
```

Theoretical density ... 3.8 g/cm3
E_tot ... -0.1114 hartree per atom

No. 5
Entry from Alexandria via LeMat-Bulk: an optimized crystal structure of ScOs (PBE-GGA).

POSCAR file:
```
ScOs
1.0
7.1064 0.0000 0.0000
0.0000 4.3515 0.0000
0.0000 0.0000 9.5037
Sc Os
8 8
direct
0.0981 0.2500 0.2502 Sc
0.1659 0.7500 0.0160 Sc
0.3341 0.2500 0.5160 Sc
0.4019 0.7500 0.7502 Sc
0.5981 0.2500 0.2498 Sc
0.6659 0.7500 0.4840 Sc
0.8341 0.2500 0.9840 Sc
0.9019 0.7500 0.7498 Sc
0.0414 0.7500 0.4412 Os
0.1346 0.2500 0.8085 Os
0.3654 0.7500 0.3085 Os
0.4586 0.2500 0.9412 Os
0.5414 0.7500 0.0588 Os
0.6347 0.2500 0.6915 Os
0.8654 0.7500 0.1915 Os
0.9586 0.2500 0.5588 Os
```

Theoretical density ... 10.6 g/cm3
E_tot ... -0.3303 hartree per atom

No. 6
Entry from Alexandria via LeMat-Bulk: an optimized crystal structure of Pr2P3Rh12Au (PBE-GGA).

POSCAR file:
```
Pr2P3Rh12Au
1.0
4.2372 2.4464 5.1829
-4.2372 2.4464 5.1829
0.0000 -4.8928 5.1829
Pr P Rh Au
2 3 12 1
direct
0.1038 0.1038 0.1038 Pr
0.8962 0.8962 0.8962 Pr
0.0000 0.5000 0.5000 P
0.5000 0.0000 0.5000 P
0.5000 0.5000 0.0000 P
0.1291 0.6483 0.6483 Rh
0.1691 0.1691 0.5850 Rh
0.1691 0.5850 0.1691 Rh
0.3517 0.3517 0.8709 Rh
0.3517 0.8709 0.3517 Rh
0.4150 0.8309 0.8309 Rh
0.5850 0.1691 0.1691 Rh
0.6483 0.1291 0.6483 Rh
0.6483 0.6483 0.1291 Rh
0.8309 0.4150 0.8309 Rh
0.8309 0.8309 0.4150 Rh
0.8709 0.3517 0.3517 Rh
0.5000 0.5000 0.5000 Au
```

Theoretical density ... 9.3 g/cm3
E_tot ... -0.2445 hartree per atom

No. 7
Entry from Alexandria via LeMat-Bulk: an optimized crystal structure of Ni2HgBi2 (PBE-GGA).

POSCAR file:
```
Ni2HgBi2
1.0
8.1869 0.0000 0.0000
0.0000 8.1869 0.0000
0.0000 0.0000 3.2633
Ni Hg Bi
4 2 4
direct
0.1132 0.3868 0.0000 Ni
0.3868 0.8868 0.0000 Ni
0.6132 0.1132 0.0000 Ni
0.8868 0.6132 0.0000 Ni
0.0000 0.0000 0.5000 Hg
0.5000 0.5000 0.5000 Hg
0.1604 0.6604 0.5000 Bi
0.3396 0.1604 0.5000 Bi
0.6604 0.8396 0.5000 Bi
0.8396 0.3396 0.5000 Bi
```

Theoretical density ... 11.2 g/cm3
Excess energy over the best structure of this formula in the dataset ... 0.2067 eV per atom

No. 8
Entry from Alexandria via LeMat-Bulk: an optimized crystal structure of Y2Zn2Ag (PBE-GGA).

POSCAR file:
```
Y2Zn2Ag
1.0
8.1695 0.0000 0.0000
0.0000 8.1695 0.0000
0.0000 0.0000 3.6594
Y Zn Ag
4 4 2
direct
0.1615 0.3385 0.0000 Y
0.3385 0.8385 0.0000 Y
0.6615 0.1615 0.0000 Y
0.8385 0.6615 0.0000 Y
0.1330 0.6330 0.5000 Zn
0.3670 0.1330 0.5000 Zn
0.6330 0.8670 0.5000 Zn
0.8670 0.3670 0.5000 Zn
0.0000 0.0000 0.0000 Ag
0.5000 0.5000 0.0000 Ag
```

Theoretical density ... 5.7 g/cm3
Excess energy over the best structure of this formula in the dataset ... 0.3274 eV per atom

No. 9
Entry from Alexandria via LeMat-Bulk: an optimized crystal structure of LiTcGe (PBE-GGA).

POSCAR file:
```
LiTcGe
1.0
4.2294 0.0000 0.0000
-2.1147 3.6627 0.0000
0.0000 0.0000 5.6682
Li Tc Ge
2 2 2
direct
0.3333 0.6667 0.0745 Li
0.6667 0.3333 0.9255 Li
0.3333 0.6667 0.5617 Tc
0.6667 0.3333 0.4383 Tc
0.0000 0.0000 0.2474 Ge
0.0000 0.0000 0.7526 Ge
```

Theoretical density ... 6.7 g/cm3
Excess energy over the best structure of this formula in the dataset ... 0.1032 eV per atom

No. 10
Entry from Alexandria via LeMat-Bulk: an optimized crystal structure of CaScAu2I (PBE-GGA).

POSCAR file:
```
CaScAu2I
1.0
5.3866 0.0000 0.0000
0.0000 5.3866 0.0000
0.0000 0.0000 5.5595
Ca Sc Au I
1 1 2 1
direct
0.0000 0.0000 0.0000 Ca
0.5000 0.5000 0.0000 Sc
0.0000 0.5000 0.5000 Au
0.5000 0.0000 0.5000 Au
0.0000 0.0000 0.5000 I
```

Theoretical density ... 6.2 g/cm3
Formation energy (no corrections) ... 525 meV per atom

No. 11
Entry from Alexandria via LeMat-Bulk: an optimized crystal structure of Sr2In2Ag7 (PBE-GGA).

POSCAR file:
```
Sr2In2Ag7
1.0
4.2380 -6.2026 0.0000
4.2380 6.2026 0.0000
0.0000 0.0000 5.1536
Sr In Ag
2 2 7
direct
0.2489 0.7511 0.0000 Sr
0.7511 0.2489 0.0000 Sr
0.3061 0.3061 0.0000 In
0.6939 0.6939 0.0000 In
0.0000 0.0000 0.2506 Ag
0.0000 0.0000 0.7494 Ag
0.0968 0.3740 0.5000 Ag
0.3740 0.0968 0.5000 Ag
0.5000 0.5000 0.5000 Ag
0.6260 0.9032 0.5000 Ag
0.9032 0.6260 0.5000 Ag
```

Theoretical density ... 7.1 g/cm3
E_tot ... -0.1010 hartree per atom

No. 12
Entry from Alexandria via LeMat-Bulk: an optimized crystal structure of PrUGe2Rh5 (PBE-GGA).

POSCAR file:
```
PrUGe2Rh5
1.0
4.7161 0.0000 0.0000
0.0000 4.7161 0.0000
0.0000 0.0000 7.4564
Pr U Ge Rh
1 1 2 5
direct
0.0000 0.0000 0.0000 Pr
0.0000 0.0000 0.5000 U
0.5000 0.5000 0.3316 Ge
0.5000 0.5000 0.6684 Ge
0.0000 0.5000 0.2749 Rh
0.0000 0.5000 0.7251 Rh
0.5000 0.0000 0.2749 Rh
0.5000 0.0000 0.7251 Rh
0.5000 0.5000 0.0000 Rh
```

Theoretical density ... 10.4 g/cm3
E_tot ... -0.2694 hartree per atom